Record 1
Cs2Np2CdSe6 after structural relaxation, computed with PBE.

abc: 7.218 7.218 8.902
angles: 97.33 97.33 120.46
Element x y z (fractional)
Cs 0.838 0.162 0.000
Cs 0.162 0.838 0.000
Np 0.334 0.666 0.500
Np 0.666 0.334 0.500
Cd 0.000 0.000 0.500
Se 0.717 0.717 0.681
Se 0.058 0.403 0.682
Se 0.283 0.283 0.319
Se 0.403 0.058 0.682
Se 0.942 0.597 0.318
Se 0.597 0.942 0.318

volume = 386.40 Å³/cell
formation energy (no corrections) = -1072.3 meV/atom
SG = C2/m, No. 12
E = -61.206 eV per cell
theoretical density = 5.7 g cm⁻³

Record 2
Cs3Np2CdSe6 after structural relaxation, computed with PBE.

abc: 7.442 7.442 8.697
angles: 98.13 98.13 120.04
Element x y z (fractional)
Cs 0.162 0.838 0.500
Cs 0.838 0.162 0.500
Cs 0.500 0.500 0.500
Np 0.333 0.667 0.000
Np 0.667 0.333 0.000
Cd 0.000 0.000 0.000
Se 0.938 0.597 0.815
Se 0.721 0.721 0.182
Se 0.062 0.403 0.185
Se 0.597 0.938 0.815
Se 0.279 0.279 0.818
Se 0.403 0.062 0.185

volume = 399.97 Å³/cell
formation energy (no corrections) = -1094.2 meV/atom
SG = C2/m, No. 12
E = -63.395 eV per cell
theoretical density = 6.1 g cm⁻³

Record 3
Cs2Np3CdSe8 after structural relaxation, computed with PBE.

abc: 8.297 8.297 10.156
angles: 65.89 65.89 60.00
Element x y z (fractional)
Cs 0.140 0.140 0.579
Cs 0.488 0.488 0.535
Np 0.491 0.987 0.031
Np 0.987 0.491 0.031
Np 0.491 0.491 0.031
Cd 0.982 0.982 0.055
Se 0.268 0.268 0.196
Se 0.714 0.714 0.857
Se 0.217 0.217 0.861
Se 0.705 0.217 0.861
Se 0.217 0.705 0.861
Se 0.758 0.276 0.209
Se 0.276 0.758 0.209
Se 0.758 0.758 0.209

volume = 533.86 Å³/cell
formation energy (no corrections) = -1067.9 meV/atom
SG = R3m, No. 160
E = -84.272 eV per cell
theoretical density = 5.4 g cm⁻³

Record 4
Cs3Np3CdSe8 after structural relaxation, computed with PBE.

abc: 8.446 8.447 9.775
angles: 115.62 90.00 119.99
Element x y z (fractional)
Cs 0.000 0.000 0.000
Cs 0.000 0.500 0.000
Cs 0.500 0.500 0.000
Np 0.500 0.000 0.500
Np 0.500 0.500 0.500
Np 0.000 0.500 0.500
Cd 0.000 0.000 0.500
Se 0.272 0.544 0.316
Se 0.728 0.456 0.684
Se 0.768 0.537 0.318
Se 0.232 0.463 0.682
Se 0.768 0.050 0.318
Se 0.232 0.950 0.682
Se 0.282 0.050 0.318
Se 0.718 0.950 0.682

volume = 523.30 Å³/cell
formation energy (no corrections) = -1112.1 meV/atom
SG = R-3m, No. 166
E = -86.856 eV per cell
theoretical density = 5.9 g cm⁻³